1.
A geometry-optimized MnTl2Sb structure. Source: Alexandria, functional PBE.

a = 6.083 Å, b = 10.523 Å, c = 3.313 Å
α = 90.00°, β = 90.00°, γ = 90.00°
Space group Cmmm (No. 65)
Asymmetric unit:
Mn  0.000  0.000  0.000 (multiplicity 2)
Tl  0.250  0.250  0.500 (multiplicity 4)
Sb  0.000  0.500  0.000 (multiplicity 2)

Summary:
Magnetization ... 4.33 μB/f.u.
E_tot ... -32.96 eV per cell
Energy above the lowest structure with this stoichiometry ... 214.8 meV/atom
Uncorrected formation energy ... 0.386 eV/atom


2.
A geometry-optimized Ce3Sn2 structure. Source: Alexandria, functional PBE.

a = 6.100 Å, b = 6.100 Å, c = 16.007 Å
α = 90.00°, β = 90.00°, γ = 90.00°
Space group I4_1/amd (No. 141, origin choice 2)
Asymmetric unit:
Ce  0.000  0.000  0.000 (multiplicity 8)
Ce  0.000  0.250  0.375 (multiplicity 4)
Sn  0.000  0.250  0.179 (multiplicity 8)

Summary:
Magnetization ... 3.16 μB/f.u.
E_tot ... -112.42 eV per cell
DFT formation energy ... -0.46 eV per atom


3.
A geometry-optimized ScTl2Cl structure. Source: Alexandria, functional PBE.

a = 4.297 Å, b = 4.297 Å, c = 11.043 Å
α = 90.00°, β = 90.00°, γ = 90.00°
Space group I4/mmm (No. 139)
Asymmetric unit:
Sc  0.000  0.000  0.000 (multiplicity 2)
Tl  0.000  0.500  0.250 (multiplicity 4)
Cl  0.000  0.000  0.500 (multiplicity 2)

Summary:
Magnetization ... 0.75 μB/f.u.
E_tot ... -27.76 eV per cell
Uncorrected formation energy ... -0.242 eV/atom


4.
A geometry-optimized NaPt3W structure. Source: Alexandria, functional PBE.

a = 4.900 Å, b = 4.900 Å, c = 4.900 Å
α = 90.00°, β = 90.00°, γ = 90.00°
Space group Pm-3m (No. 221)
Asymmetric unit:
Na  0.000  0.000  0.000 (multiplicity 1)
Pt  0.000  0.500  0.500 (multiplicity 3)
W  0.500  0.500  0.500 (multiplicity 1)

Summary:
Magnetization ... 0.00 μB/f.u.
E_tot ... -29.06 eV per cell
Energy above the lowest structure with this stoichiometry ... 0.0 meV/atom
DFT formation energy ... 0.67 eV per atom


5.
A geometry-optimized Ca2SiHg structure. Source: Alexandria, functional PBE.

a = 4.320 Å, b = 4.320 Å, c = 6.159 Å
α = 90.00°, β = 90.00°, γ = 90.00°
Space group P4mm (No. 99)
Asymmetric unit:
Ca  0.000  0.000  0.000 (multiplicity 1)
Ca  0.500  0.500  0.409 (multiplicity 1)
Si  0.500  0.500  0.910 (multiplicity 1)
Hg  0.000  0.000  0.519 (multiplicity 1)

Summary:
Magnetization ... 0.00 μB/f.u.
E_tot ... -10.41 eV per cell
Uncorrected formation energy ... -0.172 eV/atom


6.
A geometry-optimized CuSi2 structure. Source: Alexandria, functional PBE.

a = 3.375 Å, b = 3.375 Å, c = 4.575 Å
α = 90.00°, β = 90.00°, γ = 90.00°
Space group P4/mmm (No. 123)
Asymmetric unit:
Cu  0.000  0.000  0.000 (multiplicity 1)
Si  0.000  0.000  0.500 (multiplicity 1)
Si  0.500  0.500  0.000 (multiplicity 1)

Summary:
Magnetization ... 0.00 μB/f.u.
E_tot ... -12.83 eV per cell
Uncorrected formation energy ... 0.705 eV/atom


7.
A geometry-optimized KRePt structure. Source: Alexandria, functional PBE.

a = 12.348 Å, b = 5.117 Å, c = 4.555 Å
α = 90.00°, β = 90.00°, γ = 90.00°
Space group Pnma (No. 62)
Asymmetric unit:
K  0.226  0.250  0.003 (multiplicity 4)
Re  0.000  0.000  0.500 (multiplicity 4)
Pt  0.035  0.750  0.000 (multiplicity 4)

Summary:
Magnetization ... 0.00 μB/f.u.
E_tot ... -73.51 eV per cell
Energy above the lowest structure with this stoichiometry ... 174.8 meV/atom
DFT formation energy ... 0.40 eV per atom


8.
A geometry-optimized CrAgS2 structure. Source: Alexandria, functional PBE.

a = 2.9981 Å, b = 2.9981 Å, c = 28.4233 Å
α = 90.00°, β = 90.00°, γ = 120.00°
Space group R3m (No. 160, hexagonal axes)
Asymmetric unit:
Cr  0.0000  0.0000  0.0000 (multiplicity 3)
Ag  0.0000  0.0000  0.8253 (multiplicity 3)
S  0.0000  0.0000  0.6145 (multiplicity 3)
S  0.0000  0.0000  0.7188 (multiplicity 3)

Summary:
Magnetization ... 0.00 μB/f.u.
E_tot ... -66.63 eV per cell
Uncorrected formation energy ... -0.370 eV/atom